[1]
5
Lattice="4.688 0.000 0.000 0.000 4.688 0.000 0.000 0.000 4.688" Properties=species:S:1:pos:R:3 comment="Li3ZrTa PBE relaxed" volume_a3_per_cell=103 total_magnetization_mub_per_fu=1.84 dos_at_fermi_per_ev_cell=6.0 e_tot_ev_per_atom=-3.724 space_group=Pm-3m pbc="T T T"
Li 0.000 0.000 2.344
Li 0.000 2.344 0.000
Li 2.344 0.000 0.000
Zr 2.344 2.344 2.344
Ta 0.000 0.000 0.000

=====

[2]
3
Lattice="0.000 2.192 7.442 1.853 0.000 7.442 1.853 2.192 0.000" Properties=species:S:1:pos:R:3 comment="LiZrTa PBE relaxed" volume_a3_per_cell=60 total_magnetization_mub_per_fu=0.00 dos_at_fermi_per_ev_cell=3.1 e_tot_ev_per_atom=-7.172 space_group=Fmm2 pbc="T T T"
Li 0.000 0.000 0.000
Zr 1.853 2.192 10.160
Ta 1.853 2.192 4.984

=====

[3]
3
Lattice="2.513 -1.493 0.000 2.513 1.493 0.000 -1.258 0.000 7.980" Properties=species:S:1:pos:R:3 comment="LiZrTa PBE relaxed" volume_a3_per_cell=60 total_magnetization_mub_per_fu=0.00 dos_at_fermi_per_ev_cell=2.8 e_tot_ev_per_atom=-7.177 space_group=Cm pbc="T T T"
Li 0.000 0.000 0.000
Zr 0.649 0.000 5.151
Ta 3.186 0.000 2.569

=====

[4]
5
Lattice="5.192 0.000 0.000 0.000 5.192 0.000 0.000 0.000 5.192" Properties=species:S:1:pos:R:3 comment="LiZr3Ta PBE relaxed" volume_a3_per_cell=140 total_magnetization_mub_per_fu=0.00 dos_at_fermi_per_ev_cell=4.3 e_tot_ev_per_atom=-6.952 space_group=Pm-3m pbc="T T T"
Li 0.000 0.000 0.000
Zr 0.000 2.596 2.596
Zr 2.596 0.000 2.596
Zr 2.596 2.596 0.000
Ta 2.596 2.596 2.596

=====

[5]
6
Lattice="2.768 0.000 0.000 0.000 5.194 0.000 -0.339 0.000 8.073" Properties=species:S:1:pos:R:3 comment="LiZrTa PBE relaxed" volume_a3_per_cell=116 total_magnetization_mub_per_fu=0.00 dos_at_fermi_per_ev_cell=5.9 e_tot_ev_per_atom=-7.150 space_group=P2/m pbc="T T T"
Li 0.177 0.000 2.724
Li 2.252 0.000 5.349
Zr 1.384 0.000 0.000
Zr 1.214 2.597 4.036
Ta 0.031 2.597 6.779
Ta 2.397 2.597 1.294

=====

[6]
4
Lattice="3.015 0.000 0.000 0.000 3.796 0.000 0.000 0.000 6.372" Properties=species:S:1:pos:R:3 comment="LiZrTa2 PBE relaxed" volume_a3_per_cell=73 total_magnetization_mub_per_fu=0.00 dos_at_fermi_per_ev_cell=3.4 e_tot_ev_per_atom=-8.134 space_group=Pmmm pbc="T T T"
Li 0.000 0.000 0.000
Zr 0.000 0.000 3.186
Ta 1.507 1.898 1.453
Ta 1.507 1.898 4.919